Record 1
DFT (PBE-GGA) results for a relaxed structure of YbYCd2.

a = 5.323 Å, b = 5.323 Å, c = 5.323 Å
α = 60.00°, β = 60.00°, γ = 60.00°
Element x y z (fractional)
Yb  0.000  0.000  0.000
Y  0.500  0.500  0.500
Cd  0.250  0.250  0.250
Cd  0.750  0.750  0.750

DOS at the Fermi energy, states/eV/cell: 3.474
Formation energy from the elements, eV per atom: -0.3777
Space-group type: No. 225

Record 2
DFT (PBE-GGA) results for a relaxed structure of KCa.

a = 11.646 Å, b = 11.646 Å, c = 11.646 Å
α = 90.00°, β = 90.00°, γ = 90.00°
Element x y z (fractional)
K  0.000  0.250  0.500
K  0.000  0.750  0.500
K  0.250  0.500  0.000
K  0.500  0.000  0.250
K  0.500  0.000  0.750
K  0.750  0.500  0.000
Ca  0.000  0.500  0.250
Ca  0.000  0.500  0.750
Ca  0.250  0.000  0.500
Ca  0.500  0.250  0.000
Ca  0.500  0.750  0.000
Ca  0.750  0.000  0.500

DOS at the Fermi energy, states/eV/cell: 12.388
Formation energy from the elements, eV per atom: 0.8310
Space-group type: No. 223

Record 3
DFT (PBE-GGA) results for a relaxed structure of Zr2TlTc2.

a = 7.540 Å, b = 7.540 Å, c = 3.453 Å
α = 90.00°, β = 90.00°, γ = 90.00°
Element x y z (fractional)
Zr  0.156  0.344  0.000
Zr  0.344  0.844  0.000
Zr  0.656  0.156  0.000
Zr  0.844  0.656  0.000
Tl  0.000  0.000  0.500
Tl  0.500  0.500  0.500
Tc  0.142  0.642  0.500
Tc  0.358  0.142  0.500
Tc  0.642  0.858  0.500
Tc  0.858  0.358  0.500

DOS at the Fermi energy, states/eV/cell: 8.821
Formation energy from the elements, eV per atom: 0.0639
Space-group type: No. 127

Record 4
DFT (PBE-GGA) results for a relaxed structure of HfMg2TlH.

a = 4.452 Å, b = 4.452 Å, c = 4.343 Å
α = 90.00°, β = 90.00°, γ = 90.00°
Element x y z (fractional)
Hf  0.000  0.000  0.000
Mg  0.000  0.500  0.500
Mg  0.500  0.000  0.500
Tl  0.500  0.500  0.000
H  0.000  0.000  0.500

DOS at the Fermi energy, states/eV/cell: 1.846
Total energy, eV per atom: -3.7813
Space-group type: No. 123

Record 5
DFT (PBE-GGA) results for a relaxed structure of Ga2HgTePb.

a = 5.125 Å, b = 5.125 Å, c = 5.983 Å
α = 90.00°, β = 90.00°, γ = 90.00°
Element x y z (fractional)
Ga  0.000  0.500  0.000
Ga  0.500  0.000  0.000
Hg  0.000  0.000  0.000
Te  0.500  0.500  0.500
Pb  0.000  0.000  0.500

DOS at the Fermi energy, states/eV/cell: 2.023
Total energy, eV per atom: -2.4180
Space-group type: No. 123

Record 6
DFT (PBE-GGA) results for a relaxed structure of GeBiBr2.

a = 6.760 Å, b = 6.760 Å, c = 6.760 Å
α = 104.20°, β = 104.20°, γ = 120.62°
Element x y z (fractional)
Ge  0.000  0.000  0.000
Ge  0.750  0.250  0.500
Bi  0.250  0.750  0.500
Bi  0.500  0.500  0.000
Br  0.100  0.625  0.975
Br  0.375  0.350  0.475
Br  0.650  0.125  0.025
Br  0.875  0.900  0.525

DOS at the Fermi energy, states/eV/cell: 4.221
Space-group type: No. 122
Energy relative to the lowest polymorph listed for this composition, eV/atom: 0.160